The following is a DFT calculation (PBE) of MgAsIr after structural relaxation.

E (eV/atom): -5.353
Formation enthalpy at 0 K (meV/atom): -318

Geometry as POSCAR:
```
MgAsIr
1.0
4.2979 0.0000 0.0000
-2.1490 3.7221 0.0000
0.0000 0.0000 3.1177
Mg As Ir
1 1 1
Direct
0.0000 0.0000 0.0000
0.6667 0.3333 0.5000
0.3333 0.6667 0.5000
```



The following is a DFT calculation (PBE) of Mg2AsIr after structural relaxation.

E (eV/atom): -4.349
Formation enthalpy at 0 K (meV/atom): -174

Geometry as POSCAR:
```
Mg2AsIr
1.0
3.0596 0.0000 0.0000
0.0000 3.0596 0.0000
0.0000 0.0000 7.9467
Mg As Ir
2 1 1
Direct
0.0000 0.0000 0.0000
0.5000 0.5000 0.3058
0.0000 0.0000 0.5892
0.5000 0.5000 0.7677
```



Which value of formation enthalpy at 0 K does entry 2 give? -174 meV/atom